# 1
{"formula": "Li3VO3F", "functional": "PBEsol", "state": "optimized geometry", "cell": [[7.063, 0.006, -0.031], [-2.349, 6.622, 0.027], [-2.332, -3.329, 5.752]], "species": ["Li", "V", "Li", "F", "Li", "F", "Li", "Li", "O", "Li", "V", "Li", "Li", "V", "O", "O", "F", "O", "O", "O", "V", "O", "Li", "O", "Li", "O", "O", "O", "Li", "O", "Li", "F"], "fractional_positions": [[0.255, 0.506, 0.504], [0.976, 0.005, 0.250], [0.260, 0.264, 0.749], [0.248, 0.492, 0.000], [0.998, 0.481, 0.731], [0.748, 0.506, 0.501], [0.489, 0.997, 0.739], [0.511, 0.515, 0.251], [0.007, 0.480, 0.234], [0.000, 0.740, 0.489], [0.726, 0.755, 0.750], [0.763, 0.504, 0.000], [0.751, 0.258, 0.262], [0.248, 0.971, 0.000], [0.740, 0.000, 0.000], [0.225, 0.223, 0.223], [0.489, 0.247, 0.000], [0.773, 0.247, 0.766], [0.002, 0.999, 0.777], [0.478, 0.004, 0.236], [0.974, 0.244, 0.000], [0.000, 0.766, 0.000], [0.511, 0.251, 0.511], [0.006, 0.238, 0.484], [0.267, 0.749, 0.269], [0.241, 0.768, 0.764], [0.527, 0.520, 0.754], [0.522, 0.754, 0.516], [0.750, 0.001, 0.496], [0.774, 0.766, 0.246], [0.492, 0.745, 0.000], [0.247, 0.005, 0.499]], "dos_at_fermi_per_ev_cell": 6.45, "formation_energy_uncorrected_mev_per_atom": -2417, "total_magnetization_mub_per_cell": 4.0, "space_group": "Cm (8)", "dft_energy_ev_per_atom": -6.5680, "polymorph_energy_ev_per_atom": 0.046}

---

# 2
{"formula": "Li2VOF3", "functional": "PBEsol", "state": "optimized geometry", "cell": [[-2.745, 3.995, 1.573], [-0.323, -2.285, 5.064], [4.278, 3.410, -1.020]], "species": ["Li", "O", "F", "O", "F", "V", "V", "Li", "Li", "F", "F", "F", "F", "Li"], "fractional_positions": [[0.994, 0.953, 0.344], [0.192, 0.294, 0.511], [0.362, 0.274, 0.998], [0.808, 0.511, 0.294], [0.638, 0.998, 0.274], [0.000, 0.610, 0.610], [0.500, 0.355, 0.355], [0.520, 0.065, 0.656], [0.480, 0.656, 0.065], [0.678, 0.478, 0.734], [0.865, 0.995, 0.733], [0.135, 0.733, 0.995], [0.322, 0.734, 0.478], [0.006, 0.344, 0.953]], "dos_at_fermi_per_ev_cell": 5.02, "formation_energy_uncorrected_mev_per_atom": -2678, "total_magnetization_mub_per_cell": 4.0, "space_group": "C2 (5)", "dft_energy_ev_per_atom": -6.1921, "polymorph_energy_ev_per_atom": 0.044}

---

# 3
{"formula": "Li3VO3F", "functional": "PBEsol", "state": "optimized geometry", "cell": [[4.887, 0.023, 0.030], [-1.711, 4.761, -0.034], [-0.151, -0.248, 5.719]], "species": ["Li", "F", "O", "Li", "O", "F", "Li", "O", "Li", "V", "Li", "O", "V", "Li", "O", "O"], "fractional_positions": [[0.742, 0.500, 0.630], [0.008, 0.748, 0.374], [0.530, 0.774, 0.649], [0.749, 0.999, 0.385], [0.495, 0.755, 0.124], [0.992, 0.252, 0.626], [0.760, 0.505, 0.129], [0.004, 0.776, 0.899], [0.240, 0.495, 0.871], [0.710, 0.981, 0.897], [0.251, 0.001, 0.615], [0.470, 0.226, 0.351], [0.290, 0.019, 0.103], [0.258, 0.500, 0.370], [0.505, 0.245, 0.876], [0.996, 0.224, 0.101]], "formation_energy_uncorrected_mev_per_atom": -2463, "total_magnetization_mub_per_cell": 0.0, "space_group": "P-1 (2)", "dft_energy_ev_per_atom": -6.6138, "polymorph_energy_ev_per_atom": 0.000}